A) # Te2Br

Te2Br after structural relaxation (GGA-PBE, Alexandria via LeMat-Bulk).

Results
DOS(E_F) ... 0.37 states/eV/atom
Volume ... 37.5 A^3/atom
Mass density ... 4.951 g/cm³
SG ... C2/m (12)

Geometry as extended XYZ:
```
6
Lattice="4.025 0.000 0.000 -2.013 6.930 0.209 0.000 -0.441 8.045" Properties=species:S:1:pos:R:3 pbc="T T T"
Br 0.000 5.111 5.932
Br 2.013 1.378 2.322
Te 2.013 6.168 1.818
Te 2.013 2.296 6.772
Te 0.000 0.321 6.437
Te 0.000 4.193 1.483
```



B) # Te2Br

Te2Br after structural relaxation (GGA-PBE, Alexandria via LeMat-Bulk).

Results
DOS(E_F) ... 0.72 states/eV/atom
Volume ... 40.3 A^3/atom
Mass density ... 4.604 g/cm³
SG ... Pnnm (58)

Geometry as extended XYZ:
```
6
Lattice="3.779 0.000 0.000 0.000 6.538 0.000 0.000 0.000 9.784" Properties=species:S:1:pos:R:3 pbc="T T T"
Te 0.000 3.956 1.131
Te 0.000 2.582 8.653
Te 1.889 5.851 6.023
Te 1.889 0.687 3.761
Br 0.000 0.000 0.000
Br 1.889 3.269 4.892
```



C) # Te2Br

Te2Br after structural relaxation (GGA-PBE, Alexandria via LeMat-Bulk).

Results
DOS(E_F) ... 0.34 states/eV/atom
Volume ... 34.9 A^3/atom
Mass density ... 5.311 g/cm³
SG ... P1 (1)

Geometry as extended XYZ:
```
3
Lattice="4.070 0.004 -0.003 -2.010 4.436 -0.008 -0.025 -0.535 5.801" Properties=species:S:1:pos:R:3 pbc="T T T"
Te 2.670 2.566 3.006
Te 0.631 3.788 4.571
Br 0.633 1.214 0.863
```



Which structure is most stable, and how do the rest compare? From most to least stable: C), A), B).



A) # Te2Br3

Te2Br3 after structural relaxation (GGA-PBE, Alexandria via LeMat-Bulk).

Results
DOS(E_F) ... 0.50 states/eV/atom
Volume ... 35.0 A^3/atom
Mass density ... 4.699 g/cm³
SG ... R-3m (166)

Geometry as extended XYZ:
```
5
Lattice="0.286 -0.711 -8.960 -2.924 -4.049 -7.478 -4.272 0.604 -7.890" Properties=species:S:1:pos:R:3 pbc="T T T"
Te -2.739 -1.648 -9.644
Te -4.170 -2.509 -14.684
Br 0.000 0.000 0.000
Br -5.289 -3.181 -18.621
Br -1.621 -0.975 -5.707
```



B) # Te2Br3

Te2Br3 after structural relaxation (GGA-PBE, Alexandria via LeMat-Bulk).

Results
DOS(E_F) ... 0.63 states/eV/atom
Volume ... 33.0 A^3/atom
Mass density ... 4.987 g/cm³
SG ... P6/mmm (191)

Geometry as extended XYZ:
```
5
Lattice="2.940 -5.093 0.000 2.940 5.093 0.000 0.000 0.000 5.503" Properties=species:S:1:pos:R:3 pbc="T T T"
Te 2.940 -1.698 0.000
Te 2.940 1.698 0.000
Br 0.000 0.000 0.000
Br 2.940 -1.698 2.751
Br 2.940 1.698 2.751
```



Which structure is most stable, and how do the rest compare? From most to least stable: B), A).



A) # TeBr4

TeBr4 after structural relaxation (GGA-PBE, Alexandria via LeMat-Bulk).

Results
DOS(E_F) ... 0.00 states/eV/atom
Volume ... 42.4 A^3/atom
Mass density ... 3.507 g/cm³
SG ... C2/c (15)

Geometry as extended XYZ:
```
40
Lattice="-3.122 1.021 10.666 6.948 -3.376 8.056 7.852 13.297 7.892" Properties=species:S:1:pos:R:3 pbc="T T T"
Te 2.266 5.077 13.037
Te 9.411 5.866 13.577
Te 0.190 1.529 11.004
Te 11.488 9.413 15.611
Te 4.132 0.900 13.247
Te 7.546 10.042 13.367
Te 4.104 3.182 9.295
Te 7.574 7.760 17.319
Br 3.157 7.269 12.124
Br 8.521 3.673 14.491
Br 7.422 12.516 19.740
Br 4.256 -1.574 6.875
Br -0.087 5.917 13.521
Br 11.764 5.025 13.093
Br -1.981 2.664 11.693
Br 13.659 8.279 14.921
Br 6.423 0.049 12.509
Br 5.255 10.893 14.105
Br 6.350 2.052 8.857
Br 5.328 8.890 17.757
Br 3.043 0.528 10.395
Br 8.635 10.415 16.220
Br 4.896 3.685 12.225
Br 6.782 7.258 14.389
Br -0.479 1.120 8.590
Br 12.156 9.823 18.025
Br 3.151 5.392 15.396
Br 8.527 5.551 11.219
Br 3.220 -1.391 13.880
Br 8.458 12.333 12.734
Br 4.895 5.526 8.694
Br 6.783 5.416 17.920
Br 1.380 4.279 10.193
Br 10.298 6.663 16.422
Br 1.394 2.188 13.766
Br 10.284 8.754 12.848
Br 4.847 1.563 15.597
Br 6.831 9.379 11.017
Br 3.097 2.647 7.021
Br 8.581 8.295 19.593
```



B) # TeBr4

TeBr4 after structural relaxation (GGA-PBE, Alexandria via LeMat-Bulk).

Results
DOS(E_F) ... 1.58 states/eV/atom
Volume ... 34.6 A^3/atom
Mass density ... 4.296 g/cm³
SG ... Pm-3m (221)

Geometry as extended XYZ:
```
5
Lattice="-3.567 -4.129 1.125 3.841 -3.734 -1.528 1.887 -0.203 5.237" Properties=species:S:1:pos:R:3 pbc="T T T"
Te 1.081 -4.033 2.417
Br 0.000 0.000 0.000
Br -0.840 -2.166 3.181
Br 2.864 -1.969 1.854
Br 0.137 -3.932 -0.202
```



Which structure is most stable, and how do the rest compare? From most to least stable: A), B).



A) # Te4Br

Te4Br after structural relaxation (GGA-PBE, Alexandria via LeMat-Bulk).

Results
DOS(E_F) ... 0.78 states/eV/atom
Volume ... 33.8 A^3/atom
Mass density ... 5.801 g/cm³
SG ... Im-3m (229)

Geometry as extended XYZ:
```
5
Lattice="-3.483 3.483 3.483 3.483 -3.483 3.483 3.483 3.483 -3.483" Properties=species:S:1:pos:R:3 pbc="T T T"
Te -1.741 1.741 1.741
Te 1.741 1.741 1.741
Te 1.741 -1.741 1.741
Te 1.741 1.741 -1.741
Br 0.000 0.000 0.000
```



B) # Te4Br

Te4Br after structural relaxation (GGA-PBE, Alexandria via LeMat-Bulk).

Results
DOS(E_F) ... 1.93 states/eV/atom
Volume ... 35.6 A^3/atom
Mass density ... 5.515 g/cm³
SG ... Pm-3m (221)

Geometry as extended XYZ:
```
5
Lattice="5.623 0.000 0.000 0.000 5.623 0.000 0.000 0.000 5.623" Properties=species:S:1:pos:R:3 pbc="T T T"
Te 0.000 0.000 0.000
Te 2.811 0.000 2.811
Te 0.000 2.811 2.811
Te 2.811 2.811 0.000
Br 2.811 2.811 2.811
```



C) # Te4Br

Te4Br after structural relaxation (GGA-PBE, Alexandria via LeMat-Bulk).

Results
DOS(E_F) ... 0.71 states/eV/atom
Volume ... 34.1 A^3/atom
Mass density ... 5.753 g/cm³
SG ... I4/mmm (139)

Geometry as extended XYZ:
```
5
Lattice="2.862 -5.081 -2.477 3.553 -1.233 5.100 -6.297 0.662 0.238" Properties=species:S:1:pos:R:3 pbc="T T T"
Te -0.114 -3.788 -0.464
Te 0.232 -1.864 3.324
Te 4.319 -4.252 1.766
Te 2.095 -2.062 0.856
Br 0.000 0.000 0.000
```



Which structure is most stable, and how do the rest compare? From most to least stable: C), A), B).



A) # ThTeBr

ThTeBr after structural relaxation (GGA-PBE, Alexandria via LeMat-Bulk).

Results
DOS(E_F) ... 0.57 states/eV/atom
Volume ... 39.4 A^3/atom
Mass density ... 6.182 g/cm³
SG ... Pmmn (59)

Geometry as extended XYZ:
```
6
Lattice="-3.887 1.358 -0.967 -1.321 -5.524 -2.450 -2.991 -2.846 8.028" Properties=species:S:1:pos:R:3 pbc="T T T"
Th -3.308 -5.282 5.882
Th -2.286 0.353 0.437
Te -3.054 -2.511 -0.500
Te -2.541 -2.418 6.820
Br -4.562 -3.947 3.549
Br -1.032 -0.982 2.771
```



B) # ThTeBr

ThTeBr after structural relaxation (GGA-PBE, Alexandria via LeMat-Bulk).

Results
DOS(E_F) ... 0.48 states/eV/atom
Volume ... 34.3 A^3/atom
Mass density ... 7.101 g/cm³
SG ... I4mm (107)

Geometry as extended XYZ:
```
6
Lattice="-1.717 1.153 4.916 4.466 -6.276 0.138 4.291 3.070 0.779" Properties=species:S:1:pos:R:3 pbc="T T T"
Th 4.073 -2.900 4.995
Th 7.076 -1.940 2.927
Te 4.054 -2.089 1.906
Te 5.341 0.022 4.753
Br 1.380 1.353 3.058
Br 4.385 2.313 0.989
```



Which structure is most stable, and how do the rest compare? From most to least stable: A), B).



A) # ThTeBr

ThTeBr after structural relaxation (GGA-PBE, Alexandria via LeMat-Bulk).

Results
DOS(E_F) ... 0.72 states/eV/atom
Volume ... 40.0 A^3/atom
Mass density ... 6.080 g/cm³
SG ... P2_1/m (11)

Geometry as extended XYZ:
```
6
Lattice="4.199 0.000 -0.485 0.000 6.188 0.000 -0.255 0.000 9.268" Properties=species:S:1:pos:R:3 pbc="T T T"
Th 1.169 1.547 0.906
Th 2.775 4.641 7.877
Te 2.739 1.547 7.553
Te 1.206 4.641 1.230
Br 3.508 1.547 2.731
Br 0.437 4.641 6.052
```



B) # ThTeBr

ThTeBr after structural relaxation (GGA-PBE, Alexandria via LeMat-Bulk).

Results
DOS(E_F) ... 0.48 states/eV/atom
Volume ... 29.3 A^3/atom
Mass density ... 8.306 g/cm³
SG ... P-6m2 (187)

Geometry as extended XYZ:
```
3
Lattice="-3.126 0.388 -2.229 0.077 -5.032 -0.984 -2.641 1.787 4.016" Properties=species:S:1:pos:R:3 pbc="T T T"
Te -3.820 -0.227 0.863
Br -0.523 0.065 -0.373
Th -1.348 -2.695 0.313
```



Which structure is most stable, and how do the rest compare? From most to least stable: A), B).